Computed, not measured: a geometry-optimized KMoPO6 structure at the PBE with a Hubbard U level of DFT.

Lattice parameters (Å, degrees): 10.057 9.674 8.488 66.88 62.21 50.92
Positions (direct):
1 K 0.095 0.655 0.655
2 K 0.345 0.905 0.905
3 K 0.655 0.095 0.095
4 K 0.905 0.345 0.345
5 Mo 0.154 0.596 0.154
6 Mo 0.404 0.846 0.404
7 Mo 0.596 0.154 0.596
8 Mo 0.846 0.404 0.846
9 P 0.240 0.240 0.510
10 P 0.490 0.490 0.760
11 P 0.510 0.510 0.240
12 P 0.760 0.760 0.490
13 O 0.033 0.326 0.606
14 O 0.036 0.558 0.098
15 O 0.098 0.809 0.036
16 O 0.191 0.902 0.442
17 O 0.268 0.319 0.310
18 O 0.310 0.603 0.268
19 O 0.319 0.268 0.603
20 O 0.326 0.033 0.535
21 O 0.394 0.465 0.967
22 O 0.397 0.690 0.681
23 O 0.442 0.964 0.191
24 O 0.465 0.394 0.674
25 O 0.535 0.606 0.326
26 O 0.558 0.036 0.809
27 O 0.603 0.310 0.319
28 O 0.606 0.535 0.033
29 O 0.674 0.967 0.465
30 O 0.681 0.732 0.397
31 O 0.690 0.397 0.732
32 O 0.732 0.681 0.690
33 O 0.809 0.098 0.558
34 O 0.902 0.191 0.964
35 O 0.964 0.442 0.902
36 O 0.967 0.674 0.394

* uncorrected energy: -6.79 eV/atom
* total magnetization: 0.000 μB/atom
* distance to the lowest polymorph of the same formula: 0.0 meV/atom

=====

Computed, not measured: a geometry-optimized KMoPO2 structure at the PBE with a Hubbard U level of DFT.

Lattice parameters (Å, degrees): 4.054 4.054 4.844 90.00 90.00 90.00
Positions (direct):
1 K 0.000 0.000 0.000
2 Mo 0.500 0.500 0.500
3 P 0.500 0.500 0.000
4 O 0.000 0.500 0.500
5 O 0.500 0.000 0.500

* uncorrected energy: -5.45 eV/atom
* total magnetization: 0.000 μB/atom
* distance to the lowest polymorph of the same formula: 0.0 meV/atom

=====

Computed, not measured: a geometry-optimized KMoPO6 structure at the PBE with a Hubbard U level of DFT.

Lattice parameters (Å, degrees): 4.962 4.962 6.009 90.00 90.00 120.00
Positions (direct):
1 K 0.000 0.000 0.000
2 Mo 0.333 0.667 0.500
3 P 0.667 0.333 0.500
4 O 0.403 0.033 0.668
5 O 0.403 0.371 0.332
6 O 0.629 0.033 0.332
7 O 0.629 0.597 0.668
8 O 0.967 0.371 0.668
9 O 0.967 0.597 0.332

* uncorrected energy: -6.57 eV/atom
* total magnetization: 0.000 μB/atom
* distance to the lowest polymorph of the same formula: 223.7 meV/atom

=====

Computed, not measured: a geometry-optimized K2Mo2P2O11 structure at the PBE with a Hubbard U level of DFT.

Lattice parameters (Å, degrees): 10.047 10.293 10.064 90.00 98.42 90.00
Positions (direct):
1 K 0.001 0.000 0.249
2 K 0.235 0.821 0.937
3 K 0.236 0.690 0.474
4 K 0.496 0.581 0.243
5 K 0.504 0.081 0.757
6 K 0.764 0.190 0.526
7 K 0.765 0.321 0.063
8 K 0.999 0.500 0.751
9 Mo 0.071 0.183 0.897
10 Mo 0.074 0.320 0.397
11 Mo 0.348 0.083 0.390
12 Mo 0.349 0.415 0.893
13 Mo 0.651 0.915 0.107
14 Mo 0.652 0.583 0.610
15 Mo 0.926 0.820 0.603
16 Mo 0.929 0.683 0.103
17 P 0.126 0.074 0.605
18 P 0.130 0.428 0.106
19 P 0.390 0.118 0.066
20 P 0.393 0.377 0.567
21 P 0.607 0.877 0.433
22 P 0.610 0.618 0.934
23 P 0.870 0.928 0.894
24 P 0.874 0.574 0.395
25 O 0.034 0.972 0.523
26 O 0.039 0.532 0.024
27 O 0.063 0.210 0.566
28 O 0.065 0.293 0.067
29 O 0.079 0.760 0.686
30 O 0.081 0.743 0.187
31 O 0.128 0.053 0.758
32 O 0.131 0.450 0.258
33 O 0.196 0.304 0.835
34 O 0.197 0.197 0.333
35 O 0.238 0.093 0.024
36 O 0.241 0.404 0.525
37 O 0.273 0.061 0.577
38 O 0.277 0.440 0.078
39 O 0.283 0.932 0.340
40 O 0.288 0.566 0.837
41 O 0.427 0.136 0.221
42 O 0.429 0.358 0.722
43 O 0.441 0.237 0.992
44 O 0.444 0.255 0.499
45 O 0.462 0.993 0.021
46 O 0.465 0.502 0.523
47 O 0.535 0.002 0.477
48 O 0.538 0.493 0.979
49 O 0.556 0.755 0.501
50 O 0.559 0.737 0.008
51 O 0.571 0.858 0.278
52 O 0.573 0.636 0.779
53 O 0.712 0.066 0.163
54 O 0.717 0.432 0.660
55 O 0.723 0.940 0.922
56 O 0.727 0.561 0.423
57 O 0.759 0.904 0.475
58 O 0.762 0.593 0.976
59 O 0.803 0.697 0.667
60 O 0.804 0.804 0.165
61 O 0.869 0.950 0.742
62 O 0.872 0.553 0.242
63 O 0.919 0.243 0.813
64 O 0.921 0.260 0.314
65 O 0.935 0.793 0.933
66 O 0.937 0.710 0.434
67 O 0.961 0.032 0.976
68 O 0.966 0.472 0.477

* uncorrected energy: -6.86 eV/atom
* total magnetization: 0.118 μB/atom
* distance to the lowest polymorph of the same formula: 0.0 meV/atom

=====

Computed, not measured: a geometry-optimized KMo2P3O13 structure at the PBE with a Hubbard U level of DFT.

Lattice parameters (Å, degrees): 9.773 19.427 6.506 90.00 106.25 90.00
Positions (direct):
1 K 0.143 0.163 0.477
2 K 0.143 0.337 0.977
3 K 0.857 0.663 0.023
4 K 0.857 0.837 0.523
5 Mo 0.120 0.623 0.686
6 Mo 0.120 0.877 0.186
7 Mo 0.435 0.163 0.128
8 Mo 0.435 0.337 0.628
9 Mo 0.565 0.663 0.372
10 Mo 0.565 0.837 0.872
11 Mo 0.880 0.123 0.814
12 Mo 0.880 0.377 0.314
13 P 0.200 0.034 0.988
14 P 0.200 0.466 0.488
15 P 0.209 0.591 0.232
16 P 0.209 0.909 0.732
17 P 0.471 0.674 0.832
18 P 0.471 0.826 0.332
19 P 0.529 0.174 0.668
20 P 0.529 0.326 0.168
21 P 0.791 0.091 0.268
22 P 0.791 0.409 0.768
23 P 0.800 0.534 0.512
24 P 0.800 0.966 0.012
25 O 0.068 0.707 0.687
26 O 0.068 0.793 0.187
27 O 0.093 0.091 0.895
28 O 0.093 0.409 0.395
29 O 0.118 0.625 0.364
30 O 0.118 0.875 0.864
31 O 0.123 0.598 0.996
32 O 0.123 0.902 0.496
33 O 0.155 0.515 0.640
34 O 0.155 0.985 0.140
35 O 0.211 0.509 0.279
36 O 0.211 0.991 0.779
37 O 0.280 0.211 0.070
38 O 0.280 0.289 0.570
39 O 0.332 0.632 0.773
40 O 0.332 0.868 0.273
41 O 0.346 0.065 0.090
42 O 0.346 0.435 0.590
43 O 0.362 0.614 0.284
44 O 0.362 0.886 0.784
45 O 0.435 0.749 0.318
46 O 0.435 0.751 0.818
47 O 0.437 0.153 0.443
48 O 0.437 0.154 0.816
49 O 0.437 0.346 0.316
50 O 0.437 0.347 0.943
51 O 0.563 0.653 0.057
52 O 0.563 0.654 0.684
53 O 0.563 0.846 0.184
54 O 0.563 0.847 0.557
55 O 0.565 0.249 0.182
56 O 0.565 0.251 0.682
57 O 0.638 0.114 0.216
58 O 0.638 0.386 0.716
59 O 0.654 0.565 0.410
60 O 0.654 0.935 0.910
61 O 0.668 0.132 0.727
62 O 0.668 0.368 0.227
63 O 0.720 0.711 0.430
64 O 0.720 0.789 0.930
65 O 0.789 0.009 0.221
66 O 0.789 0.491 0.721
67 O 0.845 0.015 0.860
68 O 0.845 0.485 0.360
69 O 0.877 0.098 0.504
70 O 0.877 0.402 0.004
71 O 0.882 0.125 0.136
72 O 0.882 0.375 0.636
73 O 0.907 0.591 0.605
74 O 0.907 0.909 0.105
75 O 0.932 0.207 0.813
76 O 0.932 0.293 0.313

* uncorrected energy: -7.10 eV/atom
* total magnetization: 0.105 μB/atom

=====

Computed, not measured: a geometry-optimized K2SmMoPO8 structure at the PBE with a Hubbard U level of DFT.

Lattice parameters (Å, degrees): 12.327 12.327 12.327 146.56 119.44 70.98
Positions (direct):
1 K 0.079 0.686 0.453
2 K 0.233 0.186 0.107
3 K 0.267 0.374 0.953
4 K 0.421 0.874 0.607
5 K 0.579 0.126 0.393
6 K 0.733 0.626 0.047
7 K 0.767 0.814 0.893
8 K 0.921 0.314 0.547
9 Sm 0.174 0.750 0.924
10 Sm 0.326 0.250 0.576
11 Sm 0.674 0.750 0.424
12 Sm 0.826 0.250 0.076
13 Mo 0.083 0.833 0.250
14 Mo 0.417 0.667 0.750
15 Mo 0.583 0.333 0.250
16 Mo 0.917 0.167 0.750
17 P 0.071 0.250 0.321
18 P 0.429 0.750 0.179
19 P 0.571 0.250 0.821
20 P 0.929 0.750 0.679
21 O 0.058 0.331 0.266
22 O 0.065 0.831 0.773
23 O 0.081 0.162 0.810
24 O 0.104 0.678 0.014
25 O 0.141 0.412 0.570
26 O 0.147 0.729 0.310
27 O 0.158 0.088 0.230
28 O 0.164 0.090 0.486
29 O 0.336 0.822 0.926
30 O 0.342 0.571 0.930
31 O 0.353 0.662 0.581
32 O 0.359 0.929 0.270
33 O 0.396 0.410 0.574
34 O 0.419 0.229 0.081
35 O 0.435 0.208 0.766
36 O 0.442 0.708 0.273
37 O 0.558 0.292 0.727
38 O 0.565 0.792 0.234
39 O 0.581 0.771 0.919
40 O 0.604 0.590 0.426
41 O 0.641 0.071 0.730
42 O 0.647 0.338 0.419
43 O 0.658 0.429 0.070
44 O 0.664 0.178 0.074
45 O 0.836 0.910 0.514
46 O 0.842 0.912 0.770
47 O 0.853 0.271 0.690
48 O 0.859 0.588 0.430
49 O 0.896 0.322 0.986
50 O 0.919 0.838 0.190
51 O 0.935 0.169 0.227
52 O 0.942 0.669 0.734

* uncorrected energy: -6.97 eV/atom
* total magnetization: 0.000 μB/atom

=====

Computed, not measured: a geometry-optimized KPaMoO6 structure at the PBE with a Hubbard U level of DFT.

Lattice parameters (Å, degrees): 7.753 7.753 7.753 122.17 118.94 89.07
Positions (direct):
1 K 0.405 0.155 0.250
2 K 0.595 0.845 0.750
3 Pa 0.000 0.500 0.500
4 Pa 0.500 0.500 0.000
5 Mo 0.000 0.000 0.500
6 Mo 0.000 0.500 0.000
7 O 0.045 0.795 0.250
8 O 0.057 0.428 0.222
9 O 0.057 0.835 0.629
10 O 0.294 0.165 0.722
11 O 0.294 0.572 0.129
12 O 0.331 0.581 0.750
13 O 0.669 0.419 0.250
14 O 0.706 0.428 0.871
15 O 0.706 0.835 0.278
16 O 0.943 0.165 0.371
17 O 0.943 0.572 0.778
18 O 0.955 0.205 0.750

* uncorrected energy: -7.68 eV/atom
* total magnetization: 0.000 μB/atom

=====

Computed, not measured: a geometry-optimized KPaMo2O8 structure at the PBE with a Hubbard U level of DFT.

Lattice parameters (Å, degrees): 6.062 6.062 7.584 90.00 90.00 120.00
Positions (direct):
1 K 0.000 0.000 0.000
2 Pa 0.000 0.000 0.500
3 Mo 0.333 0.667 0.235
4 Mo 0.667 0.333 0.765
5 O 0.165 0.330 0.324
6 O 0.165 0.835 0.324
7 O 0.330 0.165 0.676
8 O 0.333 0.667 0.003
9 O 0.667 0.333 0.997
10 O 0.670 0.835 0.324
11 O 0.835 0.165 0.676
12 O 0.835 0.670 0.676

* uncorrected energy: -7.49 eV/atom
* total magnetization: 0.167 μB/atom

=====

Computed, not measured: a geometry-optimized K3Mo2PbO8 structure at the PBE with a Hubbard U level of DFT.

Lattice parameters (Å, degrees): 6.275 6.275 8.022 90.00 90.00 120.00
Positions (direct):
1 K 0.000 0.000 0.000
2 K 0.333 0.667 0.667
3 K 0.667 0.333 0.333
4 Mo 0.333 0.667 0.207
5 Mo 0.667 0.333 0.793
6 Pb 0.000 0.000 0.500
7 O 0.176 0.352 0.292
8 O 0.176 0.824 0.292
9 O 0.333 0.667 0.984
10 O 0.352 0.176 0.708
11 O 0.648 0.824 0.292
12 O 0.667 0.333 0.016
13 O 0.824 0.176 0.708
14 O 0.824 0.648 0.708

* uncorrected energy: -5.99 eV/atom
* total magnetization: 0.072 μB/atom

=====

Computed, not measured: a geometry-optimized KMoPbO5 structure at the PBE with a Hubbard U level of DFT.

Lattice parameters (Å, degrees): 6.512 6.512 8.135 103.63 103.63 105.73
Positions (direct):
1 K 0.177 0.823 0.750
2 K 0.823 0.177 0.250
3 Mo 0.179 0.821 0.250
4 Mo 0.821 0.179 0.750
5 Pb 0.500 0.500 0.000
6 Pb 0.500 0.500 0.500
7 O 0.096 0.248 0.904
8 O 0.179 0.623 0.373
9 O 0.248 0.096 0.404
10 O 0.377 0.821 0.127
11 O 0.439 0.561 0.750
12 O 0.561 0.439 0.250
13 O 0.623 0.179 0.873
14 O 0.752 0.904 0.596
15 O 0.821 0.377 0.627
16 O 0.904 0.752 0.096

* uncorrected energy: -6.11 eV/atom
* total magnetization: 0.000 μB/atom

=====

Computed, not measured: a geometry-optimized K2MoPbO structure at the PBE with a Hubbard U level of DFT.

Lattice parameters (Å, degrees): 7.084 7.084 3.858 90.00 90.00 90.00
Positions (direct):
1 K 0.000 0.500 0.000
2 K 0.500 0.000 0.000
3 Mo 0.000 0.000 0.000
4 Pb 0.500 0.500 0.500
5 O 0.000 0.000 0.500

* uncorrected energy: -3.63 eV/atom
* total magnetization: 0.839 μB/atom

=====

Computed, not measured: a geometry-optimized KMoPb2O6 structure at the PBE with a Hubbard U level of DFT.

Lattice parameters (Å, degrees): 5.752 6.384 10.482 90.00 122.88 90.00
Positions (direct):
1 K 0.000 0.000 0.000
2 K 0.000 0.500 0.500
3 Mo 0.500 0.000 0.500
4 Mo 0.500 0.500 0.000
5 Pb 0.214 0.017 0.717
6 Pb 0.214 0.483 0.217
7 Pb 0.786 0.517 0.783
8 Pb 0.786 0.983 0.283
9 O 0.194 0.152 0.486
10 O 0.194 0.348 0.986
11 O 0.228 0.711 0.865
12 O 0.228 0.789 0.365
13 O 0.452 0.147 0.320
14 O 0.452 0.353 0.820
15 O 0.548 0.647 0.180
16 O 0.548 0.853 0.680
17 O 0.772 0.211 0.635
18 O 0.772 0.289 0.135
19 O 0.806 0.652 0.014
20 O 0.806 0.848 0.514

* uncorrected energy: -5.89 eV/atom
* total magnetization: 0.000 μB/atom

=====

Computed, not measured: a geometry-optimized K2Mo2PbO7 structure at the PBE with a Hubbard U level of DFT.

Lattice parameters (Å, degrees): 8.877 8.877 8.877 42.19 42.19 42.19
Positions (direct):
1 K 0.226 0.226 0.226
2 K 0.774 0.774 0.774
3 Mo 0.079 0.079 0.079
4 Mo 0.921 0.921 0.921
5 Pb 0.500 0.500 0.500
6 O 0.000 0.000 0.000
7 O 0.182 0.330 0.805
8 O 0.195 0.670 0.818
9 O 0.330 0.805 0.182
10 O 0.670 0.818 0.195
11 O 0.805 0.182 0.330
12 O 0.818 0.195 0.670

* uncorrected energy: -6.07 eV/atom
* total magnetization: 0.167 μB/atom